w:
# MoOsC2

MoOsC2 after structural relaxation (PBE, the Alexandria database).

Unit cell a=3.825 b=3.825 c=3.825 alpha=60.00 beta=60.00 gamma=60.00
Fractional positions:
C: 0.750 0.750 0.750
C: 0.250 0.250 0.250
Mo: 0.000 0.000 0.000
Os: 0.500 0.500 0.500

Crystal system: cubic
SG: Fm-3m (225)

=====

x:
# MoOsC2

MoOsC2 after structural relaxation (PBE, the Alexandria database).

Unit cell a=4.617 b=4.617 c=5.761 alpha=66.38 beta=66.38 gamma=90.00
Fractional positions:
Os: 0.000 0.000 0.000
Os: 0.750 0.250 0.500
C: 0.639 0.125 0.250
C: 0.375 0.361 0.750
C: 0.875 0.889 0.750
C: 0.111 0.625 0.250
Mo: 0.250 0.750 0.500
Mo: 0.500 0.500 0.000

Crystal system: tetragonal
SG: I-42d (122)

=====

Most stable to least stable, the ends of the list are x and w.

=====

w:
# MoP2C2

MoP2C2 after structural relaxation (PBE, the Alexandria database).

Unit cell a=3.173 b=3.173 c=5.899 alpha=74.40 beta=74.40 gamma=90.00
Fractional positions:
C: 0.750 0.250 0.500
C: 0.250 0.750 0.500
Mo: 0.000 0.000 0.000
P: 0.635 0.635 0.730
P: 0.365 0.365 0.270

Crystal system: tetragonal
SG: I4/mmm (139)

=====

x:
# MoP2C2

MoP2C2 after structural relaxation (PBE, the Alexandria database).

Unit cell a=6.336 b=6.336 c=2.897 alpha=90.00 beta=90.00 gamma=90.00
Fractional positions:
Mo: 0.000 0.000 0.000
Mo: 0.500 0.500 0.000
C: 0.763 0.737 0.500
C: 0.237 0.263 0.500
C: 0.263 0.763 0.500
C: 0.737 0.237 0.500
P: 0.875 0.625 0.000
P: 0.625 0.125 0.000
P: 0.125 0.375 0.000
P: 0.375 0.875 0.000

Crystal system: tetragonal
SG: P4/mbm (127)

=====

Most stable to least stable, the ends of the list are x and w.

=====

w:
# MoP2CS

MoP2CS after structural relaxation (PBE, the Alexandria database).

Unit cell a=3.955 b=3.955 c=4.125 alpha=90.00 beta=90.00 gamma=90.00
Site moments in Bohr magnetons follow the coordinates.
Fractional positions:
P: 0.500 0.000 0.000  -0.03
P: 0.000 0.500 0.000  -0.03
Mo: 0.500 0.500 0.500  1.25
S: 0.000 0.000 0.500  -0.01
C: 0.000 0.000 0.000  0.00

Crystal system: tetragonal
SG: P4/mmm (123)

=====

x:
# MoP2CS

MoP2CS after structural relaxation (PBE, the Alexandria database).

Unit cell a=4.728 b=4.728 c=4.541 alpha=90.00 beta=90.00 gamma=90.00
Site moments in Bohr magnetons follow the coordinates.
Fractional positions:
P: 0.000 0.500 0.000  -0.16
P: 0.500 0.000 0.000  -0.16
Mo: 0.000 0.000 0.000  0.36
C: 0.500 0.500 0.500  0.87
S: 0.000 0.000 0.500  -0.03

Crystal system: tetragonal
SG: P4/mmm (123)

=====

Most stable to least stable, the ends of the list are w and x.

=====

w:
# PaMoC

PaMoC after structural relaxation (PBE, the Alexandria database).

Unit cell a=5.517 b=3.177 c=3.177 alpha=120.00 beta=90.00 gamma=90.00
Fractional positions:
Pa: 0.067 0.000 0.000
Mo: 0.561 0.333 0.667
C: 0.372 0.667 0.333

Crystal system: trigonal
SG: P3m1 (156)

=====

x:
# PaMoC

PaMoC after structural relaxation (PBE, the Alexandria database).

Unit cell a=3.257 b=3.257 c=10.611 alpha=90.00 beta=90.00 gamma=120.00
Fractional positions:
C: 0.667 0.333 0.110
C: 0.333 0.667 0.610
Mo: 0.000 0.000 0.018
Mo: 0.000 0.000 0.518
Pa: 0.667 0.333 0.763
Pa: 0.333 0.667 0.263

Crystal system: hexagonal
SG: P6_3mc (186)

=====

Most stable to least stable, the ends of the list are x and w.

=====

w:
# MoPdC3

MoPdC3 after structural relaxation (PBE, the Alexandria database).

Unit cell a=3.930 b=3.930 c=3.930 alpha=90.00 beta=90.00 gamma=90.00
Fractional positions:
C: 0.500 0.000 0.000
C: 0.000 0.500 0.000
C: 0.000 0.000 0.500
Mo: 0.500 0.500 0.500
Pd: 0.000 0.000 0.000

Crystal system: cubic
SG: Pm-3m (221)

=====

x:
# MoPdC3

MoPdC3 after structural relaxation (PBE, the Alexandria database).

Unit cell a=4.069 b=4.069 c=4.069 alpha=90.00 beta=90.00 gamma=90.00
Fractional positions:
C: 0.000 0.500 0.000
C: 0.500 0.000 0.000
C: 0.000 0.000 0.500
Pd: 0.500 0.500 0.500
Mo: 0.000 0.000 0.000

Crystal system: cubic
SG: Pm-3m (221)

=====

Most stable to least stable, the ends of the list are x and w.

=====

w:
# Mo3PdC

Mo3PdC after structural relaxation (PBE, the Alexandria database).

Unit cell a=4.711 b=4.711 c=4.711 alpha=90.00 beta=90.00 gamma=90.00
Fractional positions:
C: 0.500 0.500 0.500
Mo: 0.500 0.000 0.000
Mo: 0.000 0.000 0.500
Mo: 0.000 0.500 0.000
Pd: 0.000 0.000 0.000

Crystal system: cubic
SG: Pm-3m (221)

=====

x:
# Mo3PdC

Mo3PdC after structural relaxation (PBE, the Alexandria database).

Unit cell a=2.955 b=5.604 c=9.099 alpha=73.70 beta=90.01 gamma=74.79
Fractional positions:
Mo: 0.999 0.573 0.422
Mo: 0.689 0.188 0.637
Mo: 0.144 0.281 0.918
Mo: 0.544 0.479 0.141
Mo: 0.258 0.048 0.387
Mo: 0.430 0.713 0.672
Pd: 0.807 0.953 0.154
Pd: 0.881 0.808 0.905
C: 0.624 0.319 0.386
C: 0.064 0.441 0.673

Crystal system: triclinic
SG: P-1 (2)

=====

Most stable to least stable, the ends of the list are x and w.

=====

w:
# MoPd3C

MoPd3C after structural relaxation (PBE, the Alexandria database).

Unit cell a=4.784 b=4.784 c=4.784 alpha=90.00 beta=90.00 gamma=90.00
Site moments in Bohr magnetons follow the coordinates.
Fractional positions:
Mo: 0.000 0.000 0.000  -0.10
C: 0.500 0.500 0.500  0.57
Pd: 0.000 0.500 0.000  -0.01
Pd: 0.500 0.000 0.000  -0.02
Pd: 0.000 0.000 0.500  0.00

Crystal system: cubic
SG: Pm-3m (221)

=====

x:
# MoPd3C

MoPd3C after structural relaxation (PBE, the Alexandria database).

Unit cell a=4.187 b=4.187 c=4.187 alpha=90.00 beta=90.00 gamma=90.00
Site moments in Bohr magnetons follow the coordinates.
Fractional positions:
Mo: 0.500 0.500 0.500  2.79
Pd: 0.000 0.500 0.000  0.13
Pd: 0.000 0.000 0.500  0.15
Pd: 0.500 0.000 0.000  0.14
C: 0.000 0.000 0.000  0.01

Crystal system: cubic
SG: Pm-3m (221)

=====

Most stable to least stable, the ends of the list are x and w.

=====

w:
# Pm2MoC2

Pm2MoC2 after structural relaxation (PBE, the Alexandria database).

Unit cell a=6.244 b=6.547 c=8.550 alpha=90.00 beta=100.57 gamma=90.00
Fractional positions:
C: 0.743 0.957 0.165
C: 0.796 0.860 0.534
C: 0.204 0.140 0.466
C: 0.257 0.043 0.835
C: 0.243 0.543 0.165
C: 0.296 0.640 0.534
C: 0.704 0.360 0.466
C: 0.757 0.457 0.835
Pm: 0.906 0.621 0.322
Pm: 0.406 0.879 0.322
Pm: 0.528 0.264 0.049
Pm: 0.472 0.736 0.951
Pm: 0.094 0.379 0.678
Pm: 0.972 0.764 0.951
Pm: 0.594 0.121 0.678
Pm: 0.028 0.236 0.049
Mo: 0.640 0.607 0.618
Mo: 0.360 0.393 0.382
Mo: 0.860 0.107 0.382
Mo: 0.140 0.893 0.618

Crystal system: monoclinic
SG: P2_1/c (14)

=====

x:
# Pm2MoC2

Pm2MoC2 after structural relaxation (PBE, the Alexandria database).

Unit cell a=5.321 b=6.777 c=10.259 alpha=90.00 beta=90.00 gamma=90.00
Fractional positions:
Pm: 0.250 0.964 0.718
Pm: 0.750 0.182 0.946
Pm: 0.750 0.036 0.282
Pm: 0.750 0.536 0.218
Pm: 0.250 0.464 0.782
Pm: 0.750 0.682 0.554
Pm: 0.250 0.318 0.446
Pm: 0.250 0.818 0.054
C: 0.750 0.451 0.758
C: 0.250 0.049 0.258
C: 0.750 0.814 0.043
C: 0.250 0.686 0.543
C: 0.750 0.314 0.457
C: 0.750 0.951 0.742
C: 0.250 0.549 0.242
C: 0.250 0.186 0.957
Mo: 0.750 0.219 0.636
Mo: 0.250 0.781 0.364
Mo: 0.250 0.281 0.136
Mo: 0.750 0.719 0.864

Crystal system: orthorhombic
SG: Pnma (62)

=====

Most stable to least stable, the ends of the list are x and w.

=====

w:
# PrMoC2

PrMoC2 after structural relaxation (PBE, the Alexandria database).

Unit cell a=4.223 b=3.641 c=7.830 alpha=90.00 beta=90.00 gamma=90.00
Fractional positions:
Pr: 0.701 0.358 0.446
Pr: 0.201 0.858 0.770
Mo: 0.701 0.358 0.028
Mo: 0.201 0.858 0.188
C: 0.201 0.858 0.441
C: 0.701 0.858 0.169
C: 0.701 0.358 0.775
C: 0.201 0.358 0.047

Crystal system: orthorhombic
SG: Pmmn (59)

=====

x:
# PrMoC2

PrMoC2 after structural relaxation (PBE, the Alexandria database).

Unit cell a=3.310 b=3.310 c=6.101 alpha=74.26 beta=74.26 gamma=60.00
Fractional positions:
Pr: 0.500 0.500 0.500
Mo: 0.000 0.000 0.000
C: 0.268 0.268 0.197
C: 0.732 0.732 0.803

Crystal system: trigonal
SG: R-3m (166)

=====

Most stable to least stable, the ends of the list are w and x.

=====

w:
# MoPtC2

MoPtC2 after structural relaxation (PBE, the Alexandria database).

Unit cell a=4.762 b=4.762 c=5.721 alpha=65.41 beta=65.41 gamma=90.00
Fractional positions:
Pt: 0.750 0.250 0.500
Pt: 0.000 0.000 0.000
C: 0.135 0.625 0.250
C: 0.615 0.125 0.250
C: 0.875 0.865 0.750
C: 0.375 0.385 0.750
Mo: 0.250 0.750 0.500
Mo: 0.500 0.500 0.000

Crystal system: tetragonal
SG: I-42d (122)

=====

x:
# MoPtC2

MoPtC2 after structural relaxation (PBE, the Alexandria database).

Unit cell a=3.896 b=3.896 c=3.896 alpha=60.00 beta=60.00 gamma=60.00
Fractional positions:
C: 0.750 0.750 0.750
C: 0.250 0.250 0.250
Mo: 0.000 0.000 0.000
Pt: 0.500 0.500 0.500

Crystal system: cubic
SG: Fm-3m (225)

=====

Most stable to least stable, the ends of the list are w and x.

=====

w:
# PuMoC2

PuMoC2 after structural relaxation (PBE, the Alexandria database).

Unit cell a=3.180 b=3.180 c=11.191 alpha=90.00 beta=90.00 gamma=120.00
Site moments in Bohr magnetons follow the coordinates.
Fractional positions:
Pu: 0.667 0.333 0.250  4.20
Pu: 0.333 0.667 0.750  4.20
Mo: 0.000 0.000 0.000  -0.04
Mo: 0.000 0.000 0.500  -0.04
C: 0.333 0.667 0.110  -0.09
C: 0.667 0.333 0.890  -0.09
C: 0.333 0.667 0.390  -0.09
C: 0.667 0.333 0.610  -0.09

Crystal system: hexagonal
SG: P6_3/mmc (194)

=====

x:
# PuMoC2

PuMoC2 after structural relaxation (PBE, the Alexandria database).

Unit cell a=3.283 b=5.695 c=10.941 alpha=90.00 beta=90.00 gamma=90.00
Site moments in Bohr magnetons follow the coordinates.
Fractional positions:
Mo: 0.250 0.415 0.605  0.01
Mo: 0.750 0.585 0.395  0.01
Mo: 0.250 0.915 0.895  0.01
Mo: 0.750 0.085 0.105  0.01
Pu: 0.750 0.917 0.640  4.28
Pu: 0.250 0.583 0.140  4.28
Pu: 0.750 0.417 0.860  4.28
Pu: 0.250 0.083 0.360  4.28
C: 0.750 0.336 0.246  -0.11
C: 0.250 0.238 0.011  -0.07
C: 0.750 0.836 0.254  -0.11
C: 0.750 0.262 0.511  -0.07
C: 0.250 0.164 0.746  -0.11
C: 0.250 0.738 0.489  -0.07
C: 0.250 0.664 0.754  -0.11
C: 0.750 0.762 0.989  -0.07

Crystal system: orthorhombic
SG: Pnma (62)

=====

y:
# PuMoC2

PuMoC2 after structural relaxation (PBE, the Alexandria database).

Unit cell a=3.107 b=5.477 c=7.062 alpha=90.00 beta=63.90 gamma=90.00
Site moments in Bohr magnetons follow the coordinates.
Fractional positions:
Mo: 0.551 0.408 0.008  0.08
Mo: 0.351 0.908 0.208  0.08
Pu: 0.303 0.860 0.756  4.68
Pu: 0.599 0.360 0.460  4.68
C: 0.926 0.639 0.133  -0.06
C: 0.842 0.526 0.717  -0.13
C: 0.060 0.026 0.499  -0.13
C: 0.976 0.139 0.083  -0.06

Crystal system: orthorhombic
SG: Pmc2_1 (26)

=====

z:
# PuMoC2

PuMoC2 after structural relaxation (PBE, the Alexandria database).

Unit cell a=3.144 b=3.144 c=6.124 alpha=75.13 beta=75.13 gamma=60.00
Site moments in Bohr magnetons follow the coordinates.
Fractional positions:
C: 0.262 0.262 0.213  -0.10
C: 0.072 0.072 0.783  -0.09
Mo: 0.670 0.670 0.991  -0.02
Pu: 0.496 0.496 0.513  4.45

Crystal system: trigonal
SG: R3m (160)

=====

Most stable to least stable, the ends of the list are x and y.